Computed, not measured: a geometry-optimized Sc3ZnNi structure at the PBE level of DFT.

The structure in POSCAR format:
```
Sc3ZnNi
1.0
2.294 -9.023 0.000
2.294 9.023 0.000
0.000 0.000 4.580
Sc Zn Ni
6 2 2
direct
0.068 0.932 0.750 Sc
0.250 0.750 0.750 Sc
0.431 0.569 0.750 Sc
0.569 0.431 0.250 Sc
0.750 0.250 0.250 Sc
0.932 0.068 0.250 Sc
0.159 0.841 0.250 Zn
0.841 0.159 0.750 Zn
0.340 0.660 0.250 Ni
0.660 0.340 0.750 Ni
```

Values from the calculation:
DOS at the Fermi energy in states/eV per atom: 1.05
ΔE_f in eV per atom: -0.31

---

Computed, not measured: a geometry-optimized Er4Cd2GaAg structure at the PBE level of DFT.

The structure in POSCAR format:
```
Er4Cd2GaAg
1.0
2.577 1.488 8.411
-2.577 1.488 8.411
0.000 -2.976 8.411
Er Cd Ga Ag
4 2 1 1
direct
0.124 0.124 0.124 Er
0.374 0.374 0.374 Er
0.626 0.626 0.626 Er
0.876 0.876 0.876 Er
0.249 0.249 0.249 Cd
0.751 0.751 0.751 Cd
0.000 0.000 0.000 Ga
0.500 0.500 0.500 Ag
```

Values from the calculation:
DOS at the Fermi energy in states/eV per atom: 0.69
ΔE_f in eV per atom: -0.37

---

Computed, not measured: a geometry-optimized Sc2TiVFe structure at the PBE level of DFT.

The structure in POSCAR format:
```
Sc2TiVFe
1.0
4.764 0.000 0.000
0.000 4.764 0.000
0.000 0.000 4.368
Sc Ti V Fe
2 1 1 1
direct
0.000 0.500 0.000 Sc
0.500 0.000 0.000 Sc
0.000 0.000 0.500 Ti
0.000 0.000 0.000 V
0.500 0.500 0.500 Fe
```

Values from the calculation:
DOS at the Fermi energy in states/eV per atom: 1.75
ΔE_f in eV per atom: 1.05

---

Computed, not measured: a geometry-optimized Li7Pd5 structure at the PBE level of DFT.

The structure in POSCAR format:
```
Li7Pd5
1.0
7.099 -1.375 0.000
7.099 1.375 0.000
-4.989 0.000 8.812
Li Pd
7 5
direct
0.000 0.000 0.000 Li
0.154 0.154 0.758 Li
0.170 0.170 0.510 Li
0.477 0.477 0.747 Li
0.523 0.523 0.253 Li
0.830 0.830 0.490 Li
0.846 0.846 0.242 Li
0.183 0.183 0.253 Pd
0.339 0.339 0.004 Pd
0.500 0.500 0.500 Pd
0.661 0.661 0.996 Pd
0.817 0.817 0.747 Pd
```

Values from the calculation:
DOS at the Fermi energy in states/eV per atom: 0.17
ΔE_f in eV per atom: -0.38